A plane-wave DFT calculation with GGA-PBE was carried out for AlSnOs2F after structural relaxation.

Calculated values
E_form (uncorrected): 0.659 eV/atom
calculated volume: 77 Å³/f.u.
total moment: 0.00 μB/atom
symmetry: No. 123

Cell: 4.7424 4.7424 3.4307 Å, 90.00 90.00 90.00°
Last column: nearest neighbours and their distance in Å.
Sites, in units of the cell vectors:
Al1 0.0000 0.0000 0.0000  2 F 1.72
Sn1 0.5000 0.5000 0.0000  8 Os 2.93
Os1 0.0000 0.5000 0.5000  2 F 2.37
Os2 0.5000 0.0000 0.5000  2 F 2.37
F1 0.0000 0.0000 0.5000  2 Al 1.72


A plane-wave DFT calculation with GGA-PBE was carried out for Ni2AgMo after structural relaxation.

Calculated values
E_form: 0.296 eV per atom
calculated volume: 55 Å³/f.u.
total moment: 0.00 μB/atom
energy above the most stable polymorph in this dataset: 199 meV per atom
symmetry: No. 65

Cell: 4.6138 4.6138 2.6741 Å, 90.00 90.00 104.85°
Last column: nearest neighbours and their distance in Å.
Sites, in units of the cell vectors:
Ni1 0.0000 0.5000 0.0000  4 Mo 2.67, 4 Ag 2.67, 4 Ni 2.67-2.81
Ni2 0.5000 0.0000 0.0000  4 Mo 2.67, 4 Ag 2.67, 4 Ni 2.67-2.81
Ag1 0.0000 0.0000 0.5000  8 Ni 2.67, 2 Ag 2.67, 2 Mo 2.81
Mo1 0.5000 0.5000 0.5000  8 Ni 2.67, 2 Mo 2.67, 2 Ag 2.81


A plane-wave DFT calculation with GGA-PBE was carried out for AcZnRhPb after structural relaxation.

Calculated values
E_form: -0.265 eV per atom
calculated volume: 95 Å³/f.u.
total moment: 0.00 μB/atom
symmetry: No. 216

Cell: 5.1298 5.1298 5.1298 Å, 60.00 60.00 60.00°
Last column: nearest neighbours and their distance in Å.
Sites, in units of the cell vectors:
Ac1 0.0000 0.0000 0.0000  4 Rh 3.14, 4 Zn 3.14
Zn1 0.2500 0.2500 0.2500  4 Ac 3.14, 4 Pb 3.14
Rh1 0.7500 0.7500 0.7500  4 Ac 3.14, 4 Pb 3.14
Pb1 0.5000 0.5000 0.5000  4 Rh 3.14, 4 Zn 3.14


A plane-wave DFT calculation with GGA-PBE was carried out for Li2LaVAs after structural relaxation.

Calculated values
E_form: 0.560 eV per atom
calculated volume: 129 Å³/f.u.
total moment: 0.98 μB/atom
energy above the most stable polymorph in this dataset: 555 meV per atom
symmetry: No. 123

Cell: 4.7407 4.7407 5.7605 Å, 90.00 90.00 90.00°
Last column: nearest neighbours and their distance in Å.
Sites, in units of the cell vectors:
Li1 0.0000 0.5000 0.0000  2 V 2.37
Li2 0.5000 0.0000 0.0000  2 V 2.37
La1 0.0000 0.0000 0.5000  2 V 2.88
V1 0.0000 0.0000 0.0000  4 Li 2.37
As1 0.5000 0.5000 0.5000  4 La 3.35, 8 Li 3.73


A plane-wave DFT calculation with GGA-PBE was carried out for Sm4CdGaHg2 after structural relaxation.

Calculated values
E_form: -0.448 eV per atom
calculated volume: 215 Å³/f.u.
total moment: 0.18 μB/atom
symmetry: No. 166

Cell: 9.2271 9.2271 9.2271 Å, 33.62 33.62 33.62°
Last column: nearest neighbours and their distance in Å.
Sites, in units of the cell vectors:
Sm1 0.1197 0.1197 0.1197  1 Ga 3.12, 4 Hg 3.18-3.25, 3 Cd 3.32
Sm2 0.3702 0.3702 0.3702  3 Ga 3.23, 4 Hg 3.29-3.37, 1 Cd 3.39
Sm3 0.6298 0.6298 0.6298  3 Ga 3.23, 4 Hg 3.29-3.37, 1 Cd 3.39
Sm4 0.8803 0.8803 0.8803  1 Ga 3.12, 4 Hg 3.18-3.25, 3 Cd 3.32
Cd1 0.5000 0.5000 0.5000  8 Sm 3.32-3.39, 6 Hg 3.69
Ga1 0.0000 0.0000 0.0000  8 Sm 3.12-3.23
Hg1 0.2441 0.2441 0.2441  8 Sm 3.18-3.37
Hg2 0.7559 0.7559 0.7559  8 Sm 3.18-3.37


A plane-wave DFT calculation with GGA-PBE was carried out for PrAgSe2 after structural relaxation.

Calculated values
E_form (uncorrected): -1.075 eV/atom
calculated volume: 104 Å³/f.u.
total moment: 0.00 μB/atom
symmetry: No. 160

Cell: 7.3098 7.3098 7.3098 Å, 33.19 33.19 33.19°
Last column: nearest neighbours and their distance in Å.
Sites, in units of the cell vectors:
Pr1 0.0000 0.0000 0.0000  6 Se 3.01-3.03
Ag1 0.1699 0.1699 0.1699  6 Se 2.87-2.96
Se1 0.5784 0.5784 0.5784  3 Ag 2.87, 3 Pr 3.03
Se2 0.7537 0.7537 0.7537  3 Ag 2.96, 3 Pr 3.01


A plane-wave DFT calculation with GGA-PBE was carried out for BiAuN2 after structural relaxation.

Calculated values
E_form (uncorrected): 0.860 eV/atom
calculated volume: 68 Å³/f.u.
total moment: 0.00 μB/atom
symmetry: No. 166

Cell: 6.6422 6.6422 6.6422 Å, 30.81 30.81 30.81°
Last column: nearest neighbours and their distance in Å.
Sites, in units of the cell vectors:
Bi1 0.0000 0.0000 0.0000  6 N 2.34
Au1 0.5000 0.5000 0.5000  2 N 2.01
N1 0.3938 0.3938 0.3938  1 Au 2.01
N2 0.6062 0.6062 0.6062  1 Au 2.01


A plane-wave DFT calculation with GGA-PBE was carried out for Lu2SnSe after structural relaxation.

Calculated values
E_form (uncorrected): -0.643 eV/atom
calculated volume: 150 Å³/f.u.
total moment: 0.00 μB/atom
symmetry: No. 166

Cell: 8.4192 8.4192 8.4192 Å, 32.13 32.13 32.13°
Last column: nearest neighbours and their distance in Å.
Sites, in units of the cell vectors:
Lu1 0.1069 0.1069 0.1069  1 Se 2.56
Lu2 0.8931 0.8931 0.8931  1 Se 2.56
Sn1 0.5000 0.5000 0.5000  6 Lu 3.05
Se1 0.0000 0.0000 0.0000  2 Lu 2.56


| no. | energy (eV/atom) |
| --- | --- |
| 1 | -5.756 |
| 2 | -6.015 |
| 3 | -4.376 |
| 4 | -3.945 |
| 5 | -3.375 |
| 6 | -4.725 |
| 7 | -5.092 |
| 8 | -4.775 |